## A
The following is a DFT calculation (GGA-PBE) of a relaxed TlGa2F crystal.

Output
* crystal system: tetragonal
* total magnetization: 0.000 μB/atom

Cell: 4.889 4.889 8.690 Å, 73.66 73.66 90.00°
Fractional coordinates of all 8 atoms:
Tl  0.000  0.000  0.000
F  0.250  0.750  0.500
Ga  0.375  0.525  0.750
F  0.500  0.500  0.000
Tl  0.750  0.250  0.500
Ga  0.475  0.125  0.250
Ga  0.875  0.725  0.750
Ga  0.275  0.625  0.250



## B
The following is a DFT calculation (GGA-PBE) of a relaxed TlGa2F crystal.

Output
* crystal system: cubic
* total magnetization: 0.000 μB/atom

Cell: 4.822 4.822 4.822 Å, 60.00 60.00 60.00°
Fractional coordinates of all 4 atoms:
Tl  0.500  0.500  0.500
Ga  0.250  0.250  0.250
Ga  0.750  0.750  0.750
F  0.000  0.000  0.000



Q: Which of them is the most stable? A: A.



## A
The following is a DFT calculation (GGA-PBE) of a relaxed Tl3GaF crystal.

Output
* crystal system: cubic
* total magnetization: 0.000 μB/atom

Cell: 5.538 5.538 5.538 Å, 90.00 90.00 90.00°
Fractional coordinates of all 5 atoms:
Tl  0.000  0.000  0.500
Tl  0.000  0.500  0.000
Ga  0.000  0.000  0.000
F  0.500  0.500  0.500
Tl  0.500  0.000  0.000



## B
The following is a DFT calculation (GGA-PBE) of a relaxed Tl3GaF crystal.

Output
* crystal system: cubic
* total magnetization: 0.000 μB/atom

Cell: 5.229 5.229 5.229 Å, 90.00 90.00 90.00°
Fractional coordinates of all 5 atoms:
Tl  0.000  0.500  0.000
Tl  0.000  0.000  0.500
Tl  0.500  0.000  0.000
F  0.000  0.000  0.000
Ga  0.500  0.500  0.500



Q: Which of them is the most stable? A: B.



## A
The following is a DFT calculation (GGA-PBE) of a relaxed TlGa2F6 crystal.

Output
* crystal system: trigonal
* total magnetization: 0.000 μB/atom

Cell: 6.234 5.483 5.483 Å, 120.00 90.00 90.00°
Fractional coordinates of all 9 atoms:
F  0.677  0.387  0.000
F  0.677  0.000  0.387
Tl  0.000  0.000  0.000
Ga  0.500  0.667  0.333
Ga  0.500  0.333  0.667
F  0.677  0.613  0.613
F  0.323  0.387  0.387
F  0.323  0.613  0.000
F  0.323  0.000  0.613



## B
The following is a DFT calculation (GGA-PBE) of a relaxed TlGa2F6 crystal.

Output
* crystal system: monoclinic
* total magnetization: 0.000 μB/atom

Cell: 5.888 7.990 7.990 Å, 79.65 65.50 65.50°
Fractional coordinates of all 18 atoms:
Ga  0.501  0.392  0.187
F  0.189  0.991  0.538
F  0.689  0.538  0.991
F  0.811  0.009  0.462
F  0.742  0.168  0.083
Ga  0.001  0.187  0.392
F  0.197  0.343  0.381
F  0.258  0.832  0.917
F  0.697  0.381  0.343
Tl  0.250  0.172  0.828
F  0.242  0.083  0.168
F  0.758  0.917  0.832
F  0.311  0.462  0.009
Ga  0.999  0.813  0.608
F  0.803  0.657  0.619
F  0.303  0.619  0.657
Tl  0.750  0.828  0.172
Ga  0.499  0.608  0.813



Q: Which of them is the most stable? A: A.